The following is a DFT calculation (PBE) of a geometry-optimized SrZrCr2 structure.

- E above lowest polymorph (meV per atom) = 449.3
- spin magnetization (μB per cell) = 6.63

a = 5.8293 Å, b = 5.8293 Å, c = 5.8293 Å
α = 136.68°, β = 136.68°, γ = 62.92°
Last column: nearest neighbours and their distance in Å.
Positions (direct):
Sr1 0.5000 0.5000 0.0000  8 Cr 3.04-3.29, 4 Zr 3.29
Cr1 0.0000 0.0000 0.0000  4 Sr 3.04, 4 Zr 3.29, 4 Cr 3.29
Cr2 0.2500 0.7500 0.5000  4 Zr 3.04, 4 Cr 3.29, 4 Sr 3.29
Zr1 0.7500 0.2500 0.5000  8 Cr 3.04-3.29, 4 Sr 3.29



The following is a DFT calculation (PBE) of a geometry-optimized Sr2ZrCr structure.

- E above lowest polymorph (meV per atom) = 335.8
- spin magnetization (μB per cell) = 3.23

a = 5.5563 Å, b = 5.5563 Å, c = 5.5563 Å
α = 120.22°, β = 120.22°, γ = 89.63°
Last column: nearest neighbours and their distance in Å.
Positions (direct):
Zr1 0.5000 0.5000 0.0000  4 Sr 3.40, 4 Cr 3.40
Sr1 0.2500 0.7500 0.5000  4 Sr 3.40, 4 Zr 3.40
Sr2 0.0000 0.0000 0.0000  4 Cr 3.40, 4 Sr 3.40
Cr1 0.7500 0.2500 0.5000  4 Zr 3.40, 4 Sr 3.40



The following is a DFT calculation (PBE) of a geometry-optimized SrZrCr2 structure.

- E above lowest polymorph (meV per atom) = 388.8
- spin magnetization (μB per cell) = 6.48

a = 9.9273 Å, b = 9.9273 Å, c = 9.9273 Å
α = 19.31°, β = 19.31°, γ = 19.31°
Last column: nearest neighbours and their distance in Å.
Positions (direct):
Cr1 0.4896 0.4896 0.4896  3 Zr 2.87
Cr2 0.0104 0.0104 0.0104  3 Zr 2.87
Sr1 0.2500 0.2500 0.2500  6 Sr 3.33, 6 Cr 3.35
Zr1 0.7500 0.7500 0.7500  6 Cr 2.87



The following is a DFT calculation (PBE) of a geometry-optimized Sr2ZrCr structure.

- E above lowest polymorph (meV per atom) = 369.8
- spin magnetization (μB per cell) = 3.10

a = 3.5604 Å, b = 5.0692 Å, c = 7.0864 Å
α = 90.00°, β = 90.00°, γ = 90.00°
Last column: nearest neighbours and their distance in Å.
Positions (direct):
Sr1 0.0000 0.0000 0.9954  4 Sr 3.48-3.61, 4 Cr 3.55, 4 Zr 3.58
Sr2 0.0000 0.0000 0.5046  4 Sr 3.48-3.61, 4 Cr 3.55, 4 Zr 3.58
Zr1 0.5000 0.5000 0.2500  2 Cr 3.54, 2 Zr 3.56, 8 Sr 3.58
Cr1 0.5000 0.5000 0.7500  2 Zr 3.54, 8 Sr 3.55, 2 Cr 3.56



The following is a DFT calculation (PBE) of a geometry-optimized SrZrCr2 structure.

- E above lowest polymorph (meV per atom) = 256.5
- spin magnetization (μB per cell) = 0.00

a = 5.0015 Å, b = 5.0015 Å, c = 6.4647 Å
α = 83.08°, β = 83.08°, γ = 37.24°
Last column: nearest neighbours and their distance in Å.
Positions (direct):
Cr1 0.5033 0.5033 0.3687  2 Cr 2.22
Cr2 0.9967 0.9967 0.1313  2 Cr 2.22
Sr1 0.7500 0.7500 0.7500  2 Sr 3.19
Zr1 0.2500 0.2500 0.2500  6 Cr 2.61-2.86



The following is a DFT calculation (PBE) of a geometry-optimized Sr3ZrCr structure.

- E above lowest polymorph (meV per atom) = 0.0
- spin magnetization (μB per cell) = 5.43

a = 5.9504 Å, b = 5.9504 Å, c = 5.9504 Å
α = 90.00°, β = 90.00°, γ = 90.00°
Last column: nearest neighbours and their distance in Å.
Positions (direct):
Sr1 0.5000 0.0000 0.0000  2 Cr 2.98
Sr2 0.0000 0.5000 0.0000  2 Cr 2.98
Sr3 0.0000 0.0000 0.5000  2 Cr 2.98
Cr1 0.0000 0.0000 0.0000  6 Sr 2.98
Zr1 0.5000 0.5000 0.5000  12 Sr 4.21



The following is a DFT calculation (PBE) of a geometry-optimized Sr2ZrCr structure.

- E above lowest polymorph (meV per atom) = 370.1
- spin magnetization (μB per cell) = 1.48

a = 6.2110 Å, b = 6.2110 Å, c = 6.2110 Å
α = 132.71°, β = 132.71°, γ = 69.11°
Last column: nearest neighbours and their distance in Å.
Positions (direct):
Sr1 0.0000 0.0000 0.0000  4 Sr 3.52, 4 Cr 3.57, 4 Zr 3.57
Sr2 0.5000 0.5000 0.0000  4 Sr 3.52, 4 Zr 3.57, 4 Cr 3.57
Zr1 0.2500 0.7500 0.5000  4 Cr 3.52, 8 Sr 3.57
Cr1 0.7500 0.2500 0.5000  4 Zr 3.52, 8 Sr 3.57



The following is a DFT calculation (PBE) of a geometry-optimized Sr2ZrCr structure.

- E above lowest polymorph (meV per atom) = 366.4
- spin magnetization (μB per cell) = 3.14

a = 7.9156 Å, b = 6.2266 Å, c = 3.5234 Å
α = 90.00°, β = 63.57°, γ = 120.64°
Last column: nearest neighbours and their distance in Å.
Positions (direct):
Cr1 0.5000 0.5000 0.0000  2 Cr 3.52, 2 Zr 3.54, 8 Sr 3.58
Sr1 0.0000 0.0000 0.0000  4 Sr 3.52-3.54, 4 Zr 3.58, 4 Cr 3.58
Sr2 0.5000 0.0000 0.5000  4 Sr 3.52-3.54, 4 Cr 3.58, 4 Zr 3.58
Zr1 0.0000 0.5000 0.5000  2 Zr 3.52, 2 Cr 3.54, 8 Sr 3.58



DFT total energy, respectively: -25.70 -18.37 -25.94 -18.24 -26.47 -17.55 -18.24 -18.25 eV/cell.
ΔE_f, respectively: 3.8 3.2 3.5 3.3 3.0 5.7 3.3 3.3 eV/f.u..